Version a
{
  "formula": "La2Ni2Sn3",
  "functional": "PBE-GGA",
  "state": "relaxed",
  "lattice": [[4.494, 0.000, -1.071], [0.000, 7.266, 0.000], [0.043, 0.000, 10.143]],
  "species": ["La", "La", "La", "La", "Ni", "Ni", "Ni", "Ni", "Sn", "Sn", "Sn", "Sn", "Sn", "Sn"],
  "fractional_positions": [[0.166, 0.250, 0.332], [0.834, 0.750, 0.668], [0.957, 0.250, 0.915], [0.043, 0.750, 0.085], [0.704, 0.944, 0.409], [0.296, 0.056, 0.591], [0.296, 0.444, 0.591], [0.704, 0.556, 0.409], [0.217, 0.750, 0.433], [0.783, 0.250, 0.567], [0.573, 0.450, 0.146], [0.427, 0.550, 0.854], [0.427, 0.950, 0.854], [0.573, 0.050, 0.146]],
  "rho_g_cm3": 7.53,
  "total_magnetization_mub_per_atom": 0.00,
  "spacegroup": "No. 63"
}

=====

Version b
{
  "formula": "La2Ni2Sn3",
  "functional": "PBE-GGA",
  "state": "relaxed",
  "lattice": [[4.322, 0.000, 0.000], [-2.161, 5.412, -0.226], [0.000, -2.775, 7.034]],
  "species": ["La", "La", "Ni", "Ni", "Sn", "Sn", "Sn"],
  "fractional_positions": [[0.852, 0.704, 0.206], [0.148, 0.296, 0.794], [0.856, 0.711, 0.761], [0.144, 0.289, 0.239], [0.500, 0.000, 0.000], [0.627, 0.254, 0.448], [0.373, 0.746, 0.552]],
  "rho_g_cm3": 7.71,
  "total_magnetization_mub_per_atom": 0.00,
  "spacegroup": "No. 12"
}

=====

Energy above the most stable structure, in kJ/mol of atoms: version a 0.0; version b 4.9

=====

Version a
{
  "formula": "SrLa2NiSn",
  "functional": "PBE-GGA",
  "state": "relaxed",
  "lattice": [[5.355, 0.000, 0.000], [0.000, 5.355, 0.000], [0.000, 0.000, 5.648]],
  "species": ["Sr", "Ni", "Sn", "La", "La"],
  "fractional_positions": [[0.000, 0.000, 0.500], [0.000, 0.000, 0.000], [0.500, 0.500, 0.500], [0.000, 0.500, 0.000], [0.500, 0.000, 0.000]],
  "rho_g_cm3": 5.57,
  "total_magnetization_mub_per_atom": 0.00,
  "spacegroup": "No. 123"
}

=====

Version b
{
  "formula": "SrLa2NiSn",
  "functional": "PBE-GGA",
  "state": "relaxed",
  "lattice": [[5.500, 0.000, 0.000], [0.000, 5.500, 0.000], [0.000, 0.000, 5.179]],
  "species": ["Sr", "Ni", "Sn", "La", "La"],
  "fractional_positions": [[0.500, 0.500, 0.500], [0.000, 0.000, 0.000], [0.000, 0.000, 0.500], [0.000, 0.500, 0.000], [0.500, 0.000, 0.000]],
  "rho_g_cm3": 5.75,
  "total_magnetization_mub_per_atom": 0.00,
  "spacegroup": "No. 123"
}

=====

Energy above the most stable structure, in kJ/mol of atoms: version a 0.0; version b 3.4